# PBE La2DyY6Ho3, relaxed
data_La2DyY6Ho3
_chemical_formula_sum 'La4 Dy2 Y12 Ho6'
_cell_length_a 6.219
_cell_length_b 10.767
_cell_length_c 11.864
_cell_angle_alpha 90.00
_cell_angle_beta 100.04
_cell_angle_gamma 90.00
_space_group_name_H-M_alt 'C 1 2/m 1'
_space_group_IT_number 12
loop_
_space_group_symop_operation_xyz
'x,y,z'
'-x,-y,-z'
'-x,y,-z'
'x,-y,z'
'x+1/2,y+1/2,z'
'-x+1/2,-y+1/2,-z'
'-x+1/2,y+1/2,-z'
'x+1/2,-y+1/2,z'
loop_
_atom_site_label
_atom_site_fract_x
_atom_site_fract_y
_atom_site_fract_z
La1 0.000 0.167 0.000
Dy1 0.000 0.500 0.000
Y1 0.247 0.500 0.746
Y2 0.249 0.166 0.746
Ho1 0.000 0.000 0.500
Ho2 0.000 0.334 0.500
# **Energy of formation from the pure elements**: 0.535 kcal/mol of atoms
# **Total DFT energy (no corrections)**: -0.409 Ry/atom
# **Density**: 6.23 Mg/m³

# PBE BaY2Bi, relaxed
data_BaY2Bi
_chemical_formula_sum 'Ba4 Y8 Bi4'
_cell_length_a 9.583
_cell_length_b 9.583
_cell_length_c 7.081
_cell_angle_alpha 90.00
_cell_angle_beta 90.00
_cell_angle_gamma 90.00
_space_group_name_H-M_alt 'I -4 2 d'
_space_group_IT_number 122
_space_group_name_Hall 'I -4 2bw'
loop_
_atom_site_label
_atom_site_fract_x
_atom_site_fract_y
_atom_site_fract_z
Ba1 0.000 0.000 0.000
Y1 0.187 0.750 0.625
Bi1 0.000 0.000 0.500
# **Energy of formation from the pure elements**: -0.708 kcal/mol of atoms
# **Total DFT energy (no corrections)**: -0.346 Ry/atom
# **Density**: 5.35 Mg/m³

# PBE La3Tb4Ho2, relaxed
data_La3Tb4Ho2
_chemical_formula_sum 'La12 Tb16 Ho8'
_cell_length_a 16.498
_cell_length_b 11.868
_cell_length_c 6.178
_cell_angle_alpha 90.00
_cell_angle_beta 97.67
_cell_angle_gamma 90.00
_space_group_name_H-M_alt 'C 1 2/c 1'
_space_group_IT_number 15
loop_
_space_group_symop_operation_xyz
'x,y,z'
'-x,-y,-z'
'-x,y,-z+1/2'
'x,-y,z+1/2'
'x+1/2,y+1/2,z'
'-x+1/2,-y+1/2,-z'
'-x+1/2,y+1/2,-z+1/2'
'x+1/2,-y+1/2,z+1/2'
loop_
_atom_site_label
_atom_site_fract_x
_atom_site_fract_y
_atom_site_fract_z
La1 0.000 0.132 0.250
La2 0.167 0.371 0.082
Tb1 0.056 0.375 0.534
Tb2 0.222 0.124 0.368
Ho1 0.110 0.122 0.800
# **Energy of formation from the pure elements**: 2.330 kcal/mol of atoms
# **Total DFT energy (no corrections)**: -0.339 Ry/atom
# **Energy relative to the lowest polymorph listed for this composition**: 0.068 eV/atom
# **Density**: 7.66 Mg/m³